[1]
The following is a GGA-PBE calculation of a geometry-optimized Tb2CeThAs4 structure, from Alexandria via LeMat-Bulk.

## Properties
- E_form: -11.92 eV per formula unit
- Total energy: -6.64 eV per atom

```
Tb2CeThAs4
1.0
4.198 0.000 0.000
0.000 7.239 -0.133
0.000 2.557 6.802
Tb As Ce Th
2 4 1 1
Cartesian
2.099 1.279 3.401
0.000 2.557 6.802
4.198 2.418 1.674
2.099 3.696 5.087
0.000 7.378 4.995
2.099 6.101 1.582
2.099 3.619 -0.066
0.000 4.898 3.334
```

[2]
The following is a GGA-PBE calculation of a geometry-optimized KCa2PuO6 structure, from Alexandria via LeMat-Bulk.

## Properties
- Total energy: -7.51 eV per atom

```
KCa2PuO6
1.0
5.943 0.000 0.000
2.972 5.147 0.000
2.972 1.716 5.308
O Pu Ca K
6 1 2 1
Cartesian
6.554 4.868 4.164
6.883 2.185 4.164
5.046 5.351 1.163
8.054 3.249 1.163
4.730 1.694 1.163
4.394 3.241 4.164
2.972 1.716 0.119
5.943 3.431 2.171
2.972 1.716 5.143
8.915 5.147 3.211
```

[3]
The following is a GGA-PBE calculation of a geometry-optimized Be2RuBr structure, from Alexandria via LeMat-Bulk.

## Properties
- Total energy: -3.87 eV per atom
- Energy above the most stable polymorph in this dataset: 611 meV/atom

```
Be2RuBr
1.0
-4.748 0.098 2.808
2.304 -3.020 4.001
0.120 2.393 5.541
Ru Be Br
2 4 2
Cartesian
-2.925 0.515 5.877
0.000 0.000 0.000
0.974 -1.279 4.179
-2.747 0.284 3.698
-0.873 0.761 6.627
-2.001 -0.824 10.195
-1.222 -1.461 3.405
0.601 -1.044 6.473
```

[4]
The following is a GGA-PBE calculation of a geometry-optimized BaZrRh2 structure, from Alexandria via LeMat-Bulk.

## Properties
- E_form: -0.08 eV per formula unit
- Total energy: -6.31 eV per atom

```
BaZrRh2
1.0
7.951 0.025 0.061
-3.300 3.918 -0.034
1.351 1.158 2.783
Zr Ba Rh
1 1 2
Cartesian
-0.975 2.538 1.375
2.325 1.972 0.013
0.000 0.000 0.000
4.651 0.592 1.422
```

[5]
The following is a GGA-PBE calculation of a geometry-optimized Pr5TlRh structure, from Alexandria via LeMat-Bulk.

## Properties
- E_form: -1.55 eV per formula unit
- Total energy: -5.02 eV per atom

```
Pr5TlRh
1.0
6.266 -0.293 -0.116
1.710 6.035 -0.116
2.865 2.063 11.464
Tl Pr Rh
2 10 2
Cartesian
4.365 3.859 2.750
6.477 3.946 8.481
3.884 4.414 6.241
3.861 0.982 4.177
6.856 6.554 10.722
2.490 6.462 2.750
3.986 1.251 0.509
8.351 1.343 8.481
3.589 4.382 9.909
7.253 3.423 1.322
6.958 3.391 4.990
6.980 6.824 7.054
1.433 1.031 5.732
0.000 0.000 0.000
```

[6]
The following is a GGA-PBE calculation of a geometry-optimized Y3Sc4Pt4 structure, from Alexandria via LeMat-Bulk.

## Properties
- E_form: -10.68 eV per formula unit
- Total energy: -7.23 eV per atom

```
Y3Sc4Pt4
1.0
-0.373 -3.608 -2.303
-3.625 -3.448 5.988
-4.446 5.836 -4.415
Pt Y Sc
4 3 4
Cartesian
-4.636 -0.713 1.867
-0.876 -2.460 -0.013
-3.808 -0.507 -2.597
-3.121 -4.596 3.698
-1.415 0.507 -0.565
-1.812 -1.724 2.994
-7.029 -1.727 -0.165
-4.940 0.828 -0.497
-3.503 -2.048 -0.232
-4.941 -3.416 2.143
-3.503 2.195 -2.872
```

[7]
The following is a GGA-PBE calculation of a geometry-optimized Tb6Y3Tm2Sc structure, from Alexandria via LeMat-Bulk.

## Properties
- E_form: 0.36 eV per formula unit
- Total energy: -5.17 eV per atom

```
Tb6Y3Tm2Sc
1.0
-1.504 4.243 4.136
-4.184 -4.035 -1.894
4.956 -7.212 7.698
Tb Tm Y Sc
6 2 3 1
Cartesian
0.254 -0.346 3.440
-3.052 -1.614 3.572
-0.634 -3.088 1.443
-0.098 -3.916 8.498
2.320 -5.390 6.369
-0.985 -6.658 6.501
-2.398 1.483 2.126
-3.291 -1.275 0.117
0.528 -0.742 6.981
-0.366 -3.502 4.970
-1.259 -6.262 2.960
0.000 0.000 0.000
```

[8]
The following is a GGA-PBE calculation of a geometry-optimized PmDy4Cu structure, from Alexandria via LeMat-Bulk.

## Properties
- E_form: -0.32 eV per formula unit
- Total energy: -4.60 eV per atom

```
PmDy4Cu
1.0
-2.891 1.728 1.066
-2.030 -2.489 -1.471
0.122 -7.048 11.756
Dy Pm Cu
4 1 1
Cartesian
0.046 -2.655 4.429
-2.361 -6.109 9.353
0.076 -4.393 7.328
-2.437 -1.700 1.998
0.000 0.000 0.000
-2.399 -3.904 5.676
```

[9]
The following is a GGA-PBE calculation of a geometry-optimized LiCeUIr structure, from Alexandria via LeMat-Bulk.

## Properties
- E_form: -0.96 eV per formula unit
- Total energy: -7.24 eV per atom

```
LiCeUIr
1.0
-2.270 4.127 0.089
-4.615 0.130 0.935
-1.525 1.761 4.094
U Ce Ir Li
1 1 1 1
Cartesian
0.000 0.000 0.000
-2.103 1.504 1.279
-6.308 4.513 3.838
-4.205 3.009 2.559
```

[10]
The following is a GGA-PBE calculation of a geometry-optimized Tb2MgGa9 structure, from Alexandria via LeMat-Bulk.

## Properties
- E_form: -4.60 eV per formula unit
- Total energy: -3.56 eV per atom

```
Tb2MgGa9
1.0
4.278 0.000 0.000
0.000 4.278 0.000
0.000 0.000 12.664
Ga Tb Mg
9 2 1
Cartesian
0.000 2.139 6.332
2.139 0.000 6.332
0.000 2.139 10.682
2.139 0.000 10.682
2.139 2.139 8.418
2.139 2.139 4.246
0.000 2.139 1.982
2.139 0.000 1.982
2.139 2.139 0.000
0.000 0.000 4.185
0.000 0.000 8.479
0.000 0.000 0.000
```

> total energy of number 3 (Be2RuBr)?

-3.87 eV per atom

Repeat the ninth record exactly.
The following is a GGA-PBE calculation of a geometry-optimized LiCeUIr structure, from Alexandria via LeMat-Bulk.

## Properties
- E_form: -0.96 eV per formula unit
- Total energy: -7.24 eV per atom

```
LiCeUIr
1.0
-2.270 4.127 0.089
-4.615 0.130 0.935
-1.525 1.761 4.094
U Ce Ir Li
1 1 1 1
Cartesian
0.000 0.000 0.000
-2.103 1.504 1.279
-6.308 4.513 3.838
-4.205 3.009 2.559
```

> Number 10 is which compound?

Tb2MgGa9

> What is the total energy in the fourth record?

-6.31 eV per atom